No. 1
PmSmTe2 (PBE-GGA, relaxed); space group = R3m (160); relative energy among the computed polymorphs = 0 meV/atom; final energy = -5.34 eV per atom; formation energy without anion corrections = -541.5 kJ/mol of formula units
1.0
4.313 0.000 0.000
2.156 3.735 0.000
2.156 1.245 7.801
Te Pm Sm
2 1 1
Cartesian
2.156 1.245 5.856 Te
2.156 1.245 1.944 Te
6.469 3.735 7.705 Pm
4.313 2.490 3.996 Sm

---

No. 2
DyTm4Hg (PBE-GGA, relaxed); space group = P4/mmm (123); calculated formation energy = -0.142 eV per atom; relative energy among the computed polymorphs = 0 meV/atom; final energy = -3.94 eV per atom
1.0
3.521 0.000 0.000
0.000 3.521 0.000
0.000 0.000 13.899
Tm Hg Dy
4 1 1
Cartesian
1.760 1.760 2.466 Tm
0.000 0.000 8.956 Tm
0.000 0.000 4.943 Tm
1.760 1.760 11.433 Tm
1.760 1.760 6.949 Hg
0.000 0.000 0.000 Dy

---

No. 3
Pm2Ho6Er (PBE-GGA, relaxed); space group = P4_2/mnm (136); calculated formation energy = 0.020 eV per atom; relative energy among the computed polymorphs = 0 meV/atom; final energy = -4.59 eV per atom
1.0
-2.834 -1.057 -4.022
-6.763 -5.395 6.183
-5.608 8.888 1.620
Ho Er Pm
12 2 4
Cartesian
-7.061 -5.019 3.146 Ho
-8.531 2.698 2.156 Ho
-6.021 -1.372 -1.693 Ho
-8.144 7.455 0.635 Ho
-11.436 2.020 7.530 Ho
-6.675 -0.262 1.625 Ho
-6.285 4.496 0.101 Ho
-3.769 0.417 -3.749 Ho
-7.891 1.579 -1.149 Ho
-8.920 -2.060 3.680 Ho
-7.315 0.858 4.930 Ho
-9.184 3.809 5.474 Ho
-4.799 -3.226 1.081 Er
-2.804 4.444 0.810 Er
-4.411 1.539 -0.443 Pm
-9.766 4.551 -0.607 Pm
-10.794 0.897 4.224 Pm
-5.440 -2.114 4.389 Pm

---

No. 4
ScCd2Au6 (PBE-GGA, relaxed); space group = C2/c (15); calculated formation energy = -0.327 eV per atom; final energy = -3.42 eV per atom
1.0
-0.232 3.834 3.324
-7.981 -1.113 2.560
0.502 -4.546 7.111
Au Cd Sc
12 4 2
Cartesian
-6.285 0.263 3.034 Au
-6.998 -2.580 8.147 Au
-1.426 -2.088 9.961 Au
-4.933 -1.545 10.979 Au
-2.778 -0.280 2.017 Au
-5.332 -0.896 6.366 Au
-2.379 -0.930 6.629 Au
-3.307 0.155 9.177 Au
-0.713 0.755 4.849 Au
-7.873 -1.349 4.778 Au
0.162 -0.477 8.218 Au
-4.404 -1.980 3.819 Au
-4.004 -2.613 8.428 Cd
-1.421 -2.008 4.069 Cd
-6.290 0.182 8.926 Cd
-3.707 0.788 4.567 Cd
-0.666 -3.139 7.347 Sc
-7.045 1.313 5.649 Sc

---

| no. | size of the total moment (μB/f.u.) |
| --- | --- |
| 1 | 0.00 |
| 2 | 0.00 |
| 3 | 0.00 |
| 4 | 0.00 |